## Tb3CuSiSe7 (PBE)

Data for crystalline Tb3CuSiSe7 at its relaxed geometry.

a b c (Å): 10.3956 10.3952 5.9869
angles (deg): 90.00 90.00 120.00
Atoms (fractional coordinates):
Cu  0.0000  0.0000  0.2835
Tb  0.6448  0.7730  0.2517
Se  0.5822  0.4805  0.0063
Tb  0.1282  0.3552  0.2517
Si  0.6666  0.3333  0.1626
Se  0.5195  0.1017  0.0063
Tb  0.8718  0.6448  0.7517
Si  0.3333  0.6667  0.6626
Se  0.8983  0.4178  0.0063
Tb  0.7730  0.1281  0.7517
Se  0.1655  0.9052  0.7721
Se  0.9052  0.7397  0.2721
Se  0.0948  0.2603  0.7721
Se  0.1017  0.5822  0.5063
Se  0.6667  0.3333  0.5398
Se  0.4178  0.5195  0.5063
Se  0.3333  0.6667  0.0398
Se  0.7397  0.8345  0.7721
Cu  0.0000  0.0000  0.7835
Tb  0.3552  0.2270  0.7517
Se  0.8345  0.0948  0.2721
Se  0.4805  0.8983  0.5063
Se  0.2603  0.1655  0.2721
Tb  0.2270  0.8719  0.2517

Results
uncorrected energy = -126.682 eV per cell
SG = P6_3 (173)